# Cu6Hg3As4S12 (PBE, optimized geometry)
# - D(E_F) (states/eV per cell) = 0.95
# - final energy (eV per atom) = -3.931
# - formation energy from raw total energies (eV per atom) = -0.186
data_Cu6Hg3As4S12
_cell_length_a 13.9200
_cell_length_b 13.9200
_cell_length_c 9.4347
_cell_angle_alpha 90.00
_cell_angle_beta 90.00
_cell_angle_gamma 120.00
_symmetry_space_group_name_H-M 'R 3'
_symmetry_Int_Tables_number 146
_symmetry_space_group_name_Hall 'R 3'
loop_
_atom_site_label
_atom_site_type_symbol
_atom_site_fract_x
_atom_site_fract_y
_atom_site_fract_z
Cu1 Cu 0.0353 0.5962 0.0000
Cu2 Cu 0.0514 0.1550 0.6729
Hg1 Hg 0.1094 0.3626 0.9956
As1 As 0.0000 0.0000 0.3105
As2 As 0.1697 0.1171 0.9900
S1 S 0.0377 0.6103 0.7546
S2 S 0.0585 0.1670 0.4270
S3 S 0.1104 0.3452 0.7188
S4 S 0.1931 0.1296 0.7477



# CuHg2AsS4 (PBE, optimized geometry)
# - D(E_F) (states/eV per cell) = 0.64
# - final energy (eV per atom) = -3.319
# - formation energy from raw total energies (eV per atom) = -0.087
data_CuHg2AsS4
_cell_length_a 9.036
_cell_length_b 6.535
_cell_length_c 6.310
_cell_angle_alpha 90.00
_cell_angle_beta 90.00
_cell_angle_gamma 90.00
_symmetry_space_group_name_H-M 'P m n 21'
_symmetry_Int_Tables_number 31
loop_
_symmetry_equiv_pos_as_xyz
'x,y,z'
'-x+1/2,-y,z+1/2'
'-x,y,z'
'x+1/2,-y,z+1/2'
loop_
_atom_site_label
_atom_site_type_symbol
_atom_site_fract_x
_atom_site_fract_y
_atom_site_fract_z
Cu1 Cu 0.000 0.139 0.000
Hg1 Hg 0.246 0.333 0.509
As1 As 0.000 0.800 0.477
S1 S 0.000 0.141 0.368
S2 S 0.000 0.820 0.848
S3 S 0.221 0.285 0.911